SrSi3Mo | the Alexandria database | PBE | relaxed; ΔE to the lowest computed polymorph = 2520 meV per atom
1.0
5.052 0.000 0.000
0.000 5.052 0.000
0.000 0.000 5.052
Sr Mo Si
1 1 3
direct
0.000 0.000 0.000 Sr
0.500 0.500 0.500 Mo
0.000 0.500 0.000 Si
0.000 0.000 0.500 Si
0.500 0.000 0.000 Si